[1]
A plane-wave DFT calculation with PBE was carried out for an optimized crystal structure of Mn5Co6Re.

```
Mn5Co6Re
1.0
4.3400 0.0112 0.0028
-0.0124 4.6102 1.8902
-0.0598 -0.0130 6.6009
Mn Co Re
5 6 1
Direct
0.3381 0.8322 0.3355
0.0000 0.5000 0.0000
0.3310 0.3341 0.3316
0.6619 0.1678 0.6645
0.6690 0.6659 0.6684
0.5000 0.2555 0.0000
0.1685 0.9157 0.6634
0.8315 0.0843 0.3366
0.8315 0.5791 0.3366
0.5000 0.7445 0.0000
0.1685 0.4209 0.6634
0.0000 0.0000 0.0000
```

Summary:
* D(E_F): 1.145 states/eV/atom
* calculated density: 10.23 g cm⁻³
* ΔE_f: 0.050 eV per atom
* electronic total energy: -100.33 eV for the cell shown

---

[2]
A plane-wave DFT calculation with PBE was carried out for an optimized crystal structure of AcTmLu.

```
AcTmLu
1.0
3.5841 0.0000 0.0000
0.0000 5.7722 0.0000
0.0000 -2.8861 4.9989
Lu Ac Tm
1 1 1
Direct
0.1660 0.0000 0.0000
0.6668 0.6667 0.3333
0.1671 0.3333 0.6667
```

Summary:
* D(E_F): 1.793 states/eV/atom
* energy above the most stable polymorph in this dataset: 0.032 eV/atom
* calculated density: 9.17 g cm⁻³
* ΔE_f: 0.115 eV per atom
* electronic total energy: -12.75 eV for the cell shown

---

[3]
A plane-wave DFT calculation with PBE was carried out for an optimized crystal structure of ScSi3Te.

```
ScSi3Te
1.0
-3.1161 3.8635 -1.1753
-4.0366 -3.0228 0.7658
-0.1165 1.3979 4.9041
Sc Te Si
1 1 3
Direct
0.0000 0.0000 0.0000
0.5000 0.5000 0.5000
0.0000 0.5000 0.0000
0.0000 0.0000 0.5000
0.5000 0.0000 0.0000
```

Summary:
* D(E_F): 0.697 states/eV/atom
* energy above the most stable polymorph in this dataset: 0.000 eV/atom
* calculated density: 3.21 g cm⁻³
* electronic total energy: -21.25 eV for the cell shown

---

[4]
A plane-wave DFT calculation with PBE was carried out for an optimized crystal structure of Ho3Tl3CuSe8.

```
Ho3Tl3CuSe8
1.0
-2.7853 2.7716 -7.1433
-5.2396 -2.0418 5.9032
4.6605 7.6786 1.1620
Se Ho Tl Cu
8 3 3 1
Direct
0.7360 0.4719 0.7077
0.2193 0.9724 0.6925
0.7807 0.0276 0.3075
0.2640 0.5281 0.2923
0.7821 0.5643 0.3094
0.2179 0.4357 0.6906
0.2469 0.0276 0.3075
0.7531 0.9724 0.6925
0.5000 0.5000 0.5000
0.5000 0.0000 0.5000
0.0000 0.5000 0.5000
0.5000 0.5000 0.0000
0.0000 0.0000 0.0000
0.0000 0.5000 0.0000
0.0000 0.0000 0.5000
```

Summary:
* D(E_F): 0.640 states/eV/atom
* calculated density: 6.72 g cm⁻³
* electronic total energy: -67.77 eV for the cell shown

---

[5]
A plane-wave DFT calculation with PBE was carried out for an optimized crystal structure of Cs3Er2ScTe6.

```
Cs3Er2ScTe6
1.0
7.7509 -0.0007 0.0001
-3.8741 6.7132 0.0001
-1.2929 -2.2387 8.8864
Er Te Cs Sc
2 6 3 1
Direct
0.6663 0.3337 0.0000
0.3337 0.6663 0.0000
0.7380 0.7380 0.1864
0.2620 0.2620 0.8136
0.0616 0.3858 0.1851
0.9384 0.6142 0.8149
0.6142 0.9384 0.8149
0.3858 0.0616 0.1851
0.5000 0.5000 0.5000
0.8304 0.1696 0.5000
0.1696 0.8304 0.5000
0.0000 0.0000 0.0000
```

Summary:
* calculated density: 5.54 g cm⁻³
* electronic total energy: -52.72 eV for the cell shown

---

[6]
A plane-wave DFT calculation with PBE was carried out for an optimized crystal structure of Mn2Nb2ZnRu5.

```
Mn2Nb2ZnRu5
1.0
3.8908 0.0000 0.0000
0.0000 8.6708 0.0000
0.0000 0.0000 8.6708
Ru Mn Nb Zn
10 4 4 2
Direct
0.5000 0.1976 0.0763
0.5000 0.5763 0.6976
0.5000 0.3024 0.5763
0.5000 0.0000 0.5000
0.5000 0.9237 0.1976
0.5000 0.0763 0.8024
0.5000 0.8024 0.9237
0.5000 0.4237 0.3024
0.5000 0.6976 0.4237
0.5000 0.5000 0.0000
0.0000 0.6401 0.8599
0.0000 0.1401 0.6401
0.0000 0.8599 0.3599
0.0000 0.3599 0.1401
0.0000 0.1571 0.3429
0.0000 0.8429 0.6571
0.0000 0.6571 0.1571
0.0000 0.3429 0.8429
0.0000 0.5000 0.5000
0.0000 0.0000 0.0000
```

Summary:
* D(E_F): 1.092 states/eV/atom
* calculated density: 9.84 g cm⁻³
* ΔE_f: 0.025 eV per atom
* electronic total energy: -171.77 eV for the cell shown

---

[7]
A plane-wave DFT calculation with PBE was carried out for an optimized crystal structure of CePaAl.

```
CePaAl
1.0
2.9357 0.0000 0.0000
0.0000 5.0698 0.0000
0.0000 -2.5349 4.3906
Ce Pa Al
1 1 1
Direct
0.1669 0.0000 0.0000
0.1666 0.3333 0.6667
0.6665 0.6667 0.3333
```

Summary:
* D(E_F): 1.831 states/eV/atom
* energy above the most stable polymorph in this dataset: 0.000 eV/atom
* calculated density: 10.12 g cm⁻³
* ΔE_f: -0.102 eV per atom
* electronic total energy: -19.48 eV for the cell shown

---

[8]
A plane-wave DFT calculation with PBE was carried out for an optimized crystal structure of SrInPb2.

```
SrInPb2
1.0
-5.2831 1.3337 1.2042
0.4963 -1.1020 3.3980
1.8862 5.8253 1.8236
In Sr Pb
1 1 2
Direct
0.5000 0.7500 0.7500
0.5000 0.2500 0.2500
0.0000 0.8557 0.9994
0.0000 0.6443 0.5006
```

Summary:
* D(E_F): 0.500 states/eV/atom
* calculated density: 7.97 g cm⁻³
* ΔE_f: -0.224 eV per atom
* electronic total energy: -12.73 eV for the cell shown